Crystalline Sm2SiNiO6 at its relaxed geometry. Source: Alexandria, functional GGA+U.

Output
- N(E_F) (states/eV/f.u.) = 0.00
- SG = P2_1/c, No. 14
- volume (Å³/f.u.) = 109.7
- E (eV for the cell shown) = -150.03
- magnetization (μB per cell) = 3.877

Cell lengths 5.3272, 5.4426, 7.5656 Å; angles 90.00, 90.07, 90.00 degrees
Each line ends with the local moment (μB).
Fractional positions:
1 O 0.8086 0.7724 0.9548  0.02
2 Sm 0.9883 0.0493 0.7495  0.00
3 O 0.5809 0.0195 0.2681  0.02
4 Ni 0.0000 0.5000 0.5000  1.77
5 Sm 0.5117 0.5493 0.7505  0.00
6 Sm 0.0117 0.9507 0.2505  0.00
7 O 0.2710 0.6932 0.0409  0.03
8 Sm 0.4883 0.4507 0.2495  0.00
9 Ni 0.5000 0.0000 0.0000  1.77
10 Si 0.0000 0.5000 0.0000  0.02
11 O 0.0809 0.4805 0.7681  0.02
12 O 0.1914 0.2276 0.0452  0.02
13 O 0.6914 0.2724 0.5452  0.02
14 O 0.3086 0.7276 0.4548  0.02
15 Si 0.5000 0.0000 0.5000  0.02
16 O 0.7710 0.8068 0.5409  0.03
17 O 0.2290 0.1932 0.4591  0.03
18 O 0.4191 0.9805 0.7319  0.02
19 O 0.7290 0.3068 0.9591  0.03
20 O 0.9191 0.5195 0.2319  0.02